CdReSi: relaxed, GGA-PBE. Values from VASP.

Quantum ESPRESSO input file:
```
&SYSTEM
  ibrav = 0, nat = 3, ntyp = 3
/
ATOMIC_SPECIES
Cd 112.41 Cd.upf
Re 186.21 Re.upf
Si 28.09 Si.upf
ATOMIC_POSITIONS crystal
Cd 0.000 0.000 0.000
Re 0.667 0.333 0.500
Si 0.333 0.667 0.500
CELL_PARAMETERS angstrom
4.186 0.000 0.000
-2.093 3.625 0.000
0.000 0.000 3.355
```

Output
relative energy among the computed polymorphs	0.248	eV per formula unit
E_form (uncorrected)	0.35	eV/atom

=====

CdRe2Si: relaxed, GGA-PBE. Values from VASP.

Quantum ESPRESSO input file:
```
&SYSTEM
  ibrav = 0, nat = 4, ntyp = 3
/
ATOMIC_SPECIES
Re 186.21 Re.upf
Si 28.09 Si.upf
Cd 112.41 Cd.upf
ATOMIC_POSITIONS crystal
Re 0.500 0.500 0.000
Si 0.500 0.000 0.500
Cd 0.000 0.500 0.500
Re 0.000 0.000 0.000
CELL_PARAMETERS angstrom
4.404 0.000 0.000
0.000 4.404 0.000
0.000 0.000 3.123
```

Output
relative energy among the computed polymorphs	1.716	eV per formula unit
E_form (uncorrected)	0.65	eV/atom

=====

CdReSi2: relaxed, GGA-PBE. Values from VASP.

Quantum ESPRESSO input file:
```
&SYSTEM
  ibrav = 0, nat = 4, ntyp = 3
/
ATOMIC_SPECIES
Si 28.09 Si.upf
Cd 112.41 Cd.upf
Re 186.21 Re.upf
ATOMIC_POSITIONS crystal
Si 0.753 0.253 0.500
Cd 0.444 0.444 0.000
Si 0.068 0.068 0.000
Re 0.235 0.735 0.500
CELL_PARAMETERS angstrom
6.773 1.335 0.056
4.162 5.507 -0.056
-5.022 -4.133 2.314
```

Output
E_form (uncorrected)	0.24	eV/atom

=====

CdRe2Si: relaxed, GGA-PBE. Values from VASP.

Quantum ESPRESSO input file:
```
&SYSTEM
  ibrav = 0, nat = 4, ntyp = 3
/
ATOMIC_SPECIES
Re 186.21 Re.upf
Cd 112.41 Cd.upf
Si 28.09 Si.upf
ATOMIC_POSITIONS crystal
Re 0.461 0.461 0.539
Cd 0.250 0.250 0.250
Re 0.039 0.039 0.961
Si 0.750 0.750 0.750
CELL_PARAMETERS angstrom
5.394 0.006 0.010
4.588 2.836 0.010
1.980 0.564 4.142
```

Output
relative energy among the computed polymorphs	0.604	eV per formula unit
E_form (uncorrected)	0.37	eV/atom

=====

CdRe2Si: relaxed, GGA-PBE. Values from VASP.

Quantum ESPRESSO input file:
```
&SYSTEM
  ibrav = 0, nat = 4, ntyp = 3
/
ATOMIC_SPECIES
Cd 112.41 Cd.upf
Re 186.21 Re.upf
Si 28.09 Si.upf
ATOMIC_POSITIONS crystal
Cd 0.500 0.500 0.743
Re 0.500 0.500 0.268
Si 0.000 0.000 0.457
Re 0.000 0.000 0.032
CELL_PARAMETERS angstrom
-1.006 0.426 2.830
-2.414 -1.737 -0.596
3.511 -5.595 2.090
```

Output
relative energy among the computed polymorphs	0.000	eV per formula unit
E_form (uncorrected)	0.22	eV/atom

=====

CdRe2Si: relaxed, GGA-PBE. Values from VASP.

Quantum ESPRESSO input file:
```
&SYSTEM
  ibrav = 0, nat = 4, ntyp = 3
/
ATOMIC_SPECIES
Cd 112.41 Cd.upf
Re 186.21 Re.upf
Si 28.09 Si.upf
ATOMIC_POSITIONS crystal
Cd 0.000 0.500 0.500
Re 0.500 0.500 0.000
Re 0.000 0.000 0.000
Si 0.500 0.000 0.500
CELL_PARAMETERS angstrom
2.936 0.000 0.000
0.000 4.777 0.000
0.000 0.000 4.513
```

Output
relative energy among the computed polymorphs	1.853	eV per formula unit
E_form (uncorrected)	0.68	eV/atom

=====

CdRe2Si: relaxed, GGA-PBE. Values from VASP.

Quantum ESPRESSO input file:
```
&SYSTEM
  ibrav = 0, nat = 4, ntyp = 3
/
ATOMIC_SPECIES
Re 186.21 Re.upf
Cd 112.41 Cd.upf
Si 28.09 Si.upf
ATOMIC_POSITIONS crystal
Re 0.000 0.000 0.034
Re 0.000 0.000 0.466
Cd 0.500 0.500 0.750
Si 0.500 0.500 0.250
CELL_PARAMETERS angstrom
2.802 0.012 0.000
-1.171 2.545 0.000
0.000 0.000 8.828
```

Output
relative energy among the computed polymorphs	0.631	eV per formula unit
E_form (uncorrected)	0.38	eV/atom

=====

CdReSi2: relaxed, GGA-PBE. Values from VASP.

Quantum ESPRESSO input file:
```
&SYSTEM
  ibrav = 0, nat = 4, ntyp = 3
/
ATOMIC_SPECIES
Si 28.09 Si.upf
Re 186.21 Re.upf
Cd 112.41 Cd.upf
ATOMIC_POSITIONS crystal
Si 0.000 0.000 0.000
Re 0.750 0.250 0.500
Cd 0.250 0.750 0.500
Si 0.500 0.500 0.000
CELL_PARAMETERS angstrom
-1.649 -3.748 -2.236
-1.532 -2.686 3.493
-1.031 4.477 -0.809
```

Output
E_form (uncorrected)	0.52	eV/atom

=====

Across the entries above, density takes the values 10.65 14.06 8.09 13.48 13.36 13.46 13.50 9.52 g/cm³, respectively.
Across the entries above, raw total energy takes the values -5.92 -7.16 -5.81 -7.44 -7.59 -7.13 -7.43 -5.53 eV per atom, respectively.